KSi2Ir | PBE | optimized geometry

CIF file:
```
data_KSi2Ir
_chemical_formula_sum 'K1 Si2 Ir1'
_symmetry_space_group_name_H-M 'P m m m'
_symmetry_Int_Tables_number 47
_cell_length_a 2.835
_cell_length_b 3.542
_cell_length_c 7.661
_cell_angle_alpha 90.00
_cell_angle_beta 90.00
_cell_angle_gamma 90.00
loop_
_symmetry_equiv_pos_as_xyz
'x,y,z'
'-x,-y,-z'
'-x,-y,z'
'x,y,-z'
'x,-y,-z'
'-x,y,z'
'-x,y,-z'
'x,-y,z'
loop_
_atom_site_label
_atom_site_fract_x
_atom_site_fract_y
_atom_site_fract_z
_atom_site_occupancy
K1 0.000 0.000 0.000 1
Si1 0.500 0.500 0.331 1
Ir1 0.000 0.000 0.500 1
```

Output
Mass density, kg/m3: 6206
Distance to the lowest polymorph of the same formula, eV per atom: 0.218
Formation energy from raw total energies, meV/atom: -64.9